A plane-wave DFT calculation with GGA-PBEsol was carried out for an optimized crystal structure of ZrCd2Sn2.

The value obtained for the formation energy is 0.3 eV per formula unit. The calculation puts the total magnetization at 0.0 μB per cell. Its crystal system is tetragonal.

The structure belongs to space group I4/mmm (No. 139); the cell edges are 3.909, 3.909 and 15.400 Å and the angles 90.00°, 90.00° and 90.00°. The inequivalent atoms are Zr at (0.000, 0.000, 0.000), Cd at (0.000, 0.500, 0.250) and Sn at (0.000, 0.000, 0.406).

=====

A plane-wave DFT calculation with GGA-PBEsol was carried out for an optimized crystal structure of Pt3Au.

The value obtained for the formation energy is 0.3 eV per formula unit. The calculation puts the total magnetization at 0.0 μB per cell. Its crystal system is monoclinic.

The structure belongs to space group P2/m (No. 10); the cell edges are 2.757, 4.748 and 4.763 Å and the angles 90.00°, 90.09° and 90.00°. The inequivalent atoms are Pt at (0.000, 0.000, 0.000), Pt at (0.241, 0.500, 0.754) and Au at (0.500, 0.000, 0.500).

=====

A plane-wave DFT calculation with GGA-PBEsol was carried out for an optimized crystal structure of AlHgAsSe2.

The calculation puts the total magnetization at 0.9 μB per cell. Its crystal system is tetragonal. Its uncorrected formation energy is 19.095 kcal/mol of atoms.

The structure belongs to space group P4/mmm (No. 123); the cell edges are 5.212, 5.212 and 5.107 Å and the angles 90.00°, 90.00° and 90.00°. The inequivalent atoms are Al at (0.000, 0.000, 0.000), Hg at (0.500, 0.500, 0.500), As at (0.500, 0.500, 0.000) and Se at (0.000, 0.500, 0.500).